This record from the Open Quantum Materials Database describes an optimized crystal structure of BePdAu. The functional is PBE-GGA.

Structure (CIF):
```
data_BePdAu
_cell_length_a 2.851
_cell_length_b 2.851
_cell_length_c 9.968
_cell_angle_alpha 90.00
_cell_angle_beta 90.00
_cell_angle_gamma 90.00
_space_group_name_H-M_alt 'P 4/m m m'
_space_group_IT_number 123
_space_group_name_Hall '-P 4 2'
loop_
_atom_site_label
_atom_site_fract_x
_atom_site_fract_y
_atom_site_fract_z
Be1 0.000 0.000 0.000
Be2 0.500 0.500 0.500
Pd1 0.000 0.000 0.362
Au1 0.500 0.500 0.149
```

Summary:
**Volume**: 13.507 A^3/atom
**Energy**: -4.411 eV/atom